<1>
VASP calculation (PBE) on AgMoAs after structural relaxation.

Computed properties:
volume	53.25	Å³ per cell
theoretical density	8.7	Mg/m³
total magnetization	0.000	Bohr magnetons per cell

Structure (CIF):
```
data_AgMoAs
_chemical_formula_sum 'Ag1 Mo1 As1'
_space_group_name_H-M_alt 'P 3 m 1'
_space_group_IT_number 156
_cell_length_a 3.0353
_cell_length_b 3.0353
_cell_length_c 6.6740
_cell_angle_alpha 90.00
_cell_angle_beta 90.00
_cell_angle_gamma 120.00
loop_
_space_group_symop_operation_xyz
'x,y,z'
'-y,x-y,z'
'-x+y,-x,z'
'-y,-x,z'
'-x+y,y,z'
'x,x-y,z'
loop_
_atom_site_label
_atom_site_type_symbol
_atom_site_fract_x
_atom_site_fract_y
_atom_site_fract_z
Ag1 Ag 0.0000 0.0000 0.0000
Mo1 Mo 0.6667 0.3333 0.6450
As1 As 0.3333 0.6667 0.3731
```

=====

<2>
VASP calculation (PBE) on AgMoAs after structural relaxation.

Computed properties:
volume	219.36	Å³ per cell
theoretical density	8.4	Mg/m³
total magnetization	0.000	Bohr magnetons per cell

Structure (CIF):
```
data_AgMoAs
_chemical_formula_sum 'Ag4 Mo4 As4'
_space_group_name_H-M_alt 'F m m 2'
_space_group_IT_number 42
_space_group_name_Hall 'F 2 -2'
_cell_length_a 3.299
_cell_length_b 4.631
_cell_length_c 14.360
_cell_angle_alpha 90.00
_cell_angle_beta 90.00
_cell_angle_gamma 90.00
loop_
_atom_site_label
_atom_site_type_symbol
_atom_site_fract_x
_atom_site_fract_y
_atom_site_fract_z
Ag1 Ag 0.000 0.000 0.000
Mo1 Mo 0.000 0.000 0.665
As1 As 0.000 0.000 0.300
```

=====

Verdict on stability: <1> comes out on top.

=====

<1>
VASP calculation (PBE) on Ag3MoAs after structural relaxation.

Computed properties:
volume	130.40	Å³ per cell
theoretical density	6.3	Mg/m³
total magnetization	1.423	Bohr magnetons per cell

Structure (CIF):
```
data_Ag3MoAs
_chemical_formula_sum 'Ag3 Mo1 As1'
_space_group_name_H-M_alt 'P m -3 m'
_space_group_IT_number 221
_space_group_name_Hall '-P 4 2 3'
_cell_length_a 5.071
_cell_length_b 5.071
_cell_length_c 5.071
_cell_angle_alpha 90.00
_cell_angle_beta 90.00
_cell_angle_gamma 90.00
loop_
_atom_site_label
_atom_site_type_symbol
_atom_site_fract_x
_atom_site_fract_y
_atom_site_fract_z
Ag1 Ag 0.000 0.000 0.500
Mo1 Mo 0.000 0.000 0.000
As1 As 0.500 0.500 0.500
```

=====

<2>
VASP calculation (PBE) on Ag3MoAs after structural relaxation.

Computed properties:
volume	117.69	Å³ per cell
theoretical density	7.0	Mg/m³
total magnetization	4.767	Bohr magnetons per cell

Structure (CIF):
```
data_Ag3MoAs
_chemical_formula_sum 'Ag3 Mo1 As1'
_space_group_name_H-M_alt 'P m -3 m'
_space_group_IT_number 221
_space_group_name_Hall '-P 4 2 3'
_cell_length_a 4.901
_cell_length_b 4.901
_cell_length_c 4.901
_cell_angle_alpha 90.00
_cell_angle_beta 90.00
_cell_angle_gamma 90.00
loop_
_atom_site_label
_atom_site_type_symbol
_atom_site_fract_x
_atom_site_fract_y
_atom_site_fract_z
Ag1 Ag 0.000 0.000 0.500
Mo1 Mo 0.500 0.500 0.500
As1 As 0.000 0.000 0.000
```

=====

Verdict on stability: <2> comes out on top.

=====

<1>
VASP calculation (PBE) on AgAs3N after structural relaxation.

Computed properties:
volume	84.93	Å³ per cell
theoretical density	6.8	Mg/m³
total magnetization	0.000	Bohr magnetons per cell

Structure (CIF):
```
data_AgAs3N
_chemical_formula_sum 'Ag1 As3 N1'
_space_group_name_H-M_alt 'P m -3 m'
_space_group_IT_number 221
_space_group_name_Hall '-P 4 2 3'
_cell_length_a 4.396
_cell_length_b 4.396
_cell_length_c 4.396
_cell_angle_alpha 90.00
_cell_angle_beta 90.00
_cell_angle_gamma 90.00
loop_
_atom_site_label
_atom_site_type_symbol
_atom_site_fract_x
_atom_site_fract_y
_atom_site_fract_z
Ag1 Ag 0.000 0.000 0.000
As1 As 0.000 0.500 0.500
N1 N 0.500 0.500 0.500
```

=====

<2>
VASP calculation (PBE) on AgAs3N after structural relaxation.

Computed properties:
volume	121.40	Å³ per cell
theoretical density	4.7	Mg/m³
total magnetization	0.000	Bohr magnetons per cell

Structure (CIF):
```
data_AgAs3N
_chemical_formula_sum 'Ag1 As3 N1'
_space_group_name_H-M_alt 'P m -3 m'
_space_group_IT_number 221
_space_group_name_Hall '-P 4 2 3'
_cell_length_a 4.952
_cell_length_b 4.952
_cell_length_c 4.952
_cell_angle_alpha 90.00
_cell_angle_beta 90.00
_cell_angle_gamma 90.00
loop_
_atom_site_label
_atom_site_type_symbol
_atom_site_fract_x
_atom_site_fract_y
_atom_site_fract_z
Ag1 Ag 0.000 0.000 0.000
As1 As 0.000 0.000 0.500
N1 N 0.500 0.500 0.500
```

=====

Verdict on stability: <1> comes out on top.

=====

<1>
VASP calculation (PBE) on AgAsS2N after structural relaxation.

Computed properties:
volume	88.15	Å³ per cell
theoretical density	4.9	Mg/m³
total magnetization	1.327	Bohr magnetons per cell

Structure (CIF):
```
data_AgAsS2N
_chemical_formula_sum 'Ag1 As1 S2 N1'
_space_group_name_H-M_alt 'P 4/m m m'
_space_group_IT_number 123
_space_group_name_Hall '-P 4 2'
_cell_length_a 4.880
_cell_length_b 4.880
_cell_length_c 3.701
_cell_angle_alpha 90.00
_cell_angle_beta 90.00
_cell_angle_gamma 90.00
loop_
_atom_site_label
_atom_site_type_symbol
_atom_site_fract_x
_atom_site_fract_y
_atom_site_fract_z
Ag1 Ag 0.000 0.000 0.000
As1 As 0.500 0.500 0.500
S1 S 0.000 0.500 0.500
N1 N 0.500 0.500 0.000
```

=====

<2>
VASP calculation (PBE) on AgAsS2N after structural relaxation.

Computed properties:
volume	96.45	Å³ per cell
theoretical density	4.5	Mg/m³
total magnetization	1.832	Bohr magnetons per cell

Structure (CIF):
```
data_AgAsS2N
_chemical_formula_sum 'Ag1 As1 S2 N1'
_space_group_name_H-M_alt 'P 4/m m m'
_space_group_IT_number 123
_space_group_name_Hall '-P 4 2'
_cell_length_a 4.952
_cell_length_b 4.952
_cell_length_c 3.934
_cell_angle_alpha 90.00
_cell_angle_beta 90.00
_cell_angle_gamma 90.00
loop_
_atom_site_label
_atom_site_type_symbol
_atom_site_fract_x
_atom_site_fract_y
_atom_site_fract_z
Ag1 Ag 0.000 0.000 0.000
As1 As 0.500 0.500 0.500
S1 S 0.000 0.500 0.000
N1 N 0.000 0.000 0.500
```

=====

Verdict on stability: <1> comes out on top.

=====

<1>
VASP calculation (PBE) on AgAs2SeN after structural relaxation.

Computed properties:
volume	131.82	Å³ per cell
theoretical density	4.4	Mg/m³
total magnetization	2.446	Bohr magnetons per cell

Structure (CIF):
```
data_AgAs2SeN
_chemical_formula_sum 'Ag1 As2 Se1 N1'
_space_group_name_H-M_alt 'P 4/m m m'
_space_group_IT_number 123
_space_group_name_Hall '-P 4 2'
_cell_length_a 5.056
_cell_length_b 5.056
_cell_length_c 5.156
_cell_angle_alpha 90.00
_cell_angle_beta 90.00
_cell_angle_gamma 90.00
loop_
_atom_site_label
_atom_site_type_symbol
_atom_site_fract_x
_atom_site_fract_y
_atom_site_fract_z
Ag1 Ag 0.000 0.000 0.000
As1 As 0.000 0.500 0.000
Se1 Se 0.000 0.000 0.500
N1 N 0.500 0.500 0.500
```

=====

<2>
VASP calculation (PBE) on AgAs2SeN after structural relaxation.

Computed properties:
volume	87.33	Å³ per cell
theoretical density	6.7	Mg/m³
total magnetization	0.000	Bohr magnetons per cell

Structure (CIF):
```
data_AgAs2SeN
_chemical_formula_sum 'Ag1 As2 Se1 N1'
_space_group_name_H-M_alt 'P 4/m m m'
_space_group_IT_number 123
_space_group_name_Hall '-P 4 2'
_cell_length_a 4.373
_cell_length_b 4.373
_cell_length_c 4.568
_cell_angle_alpha 90.00
_cell_angle_beta 90.00
_cell_angle_gamma 90.00
loop_
_atom_site_label
_atom_site_type_symbol
_atom_site_fract_x
_atom_site_fract_y
_atom_site_fract_z
Ag1 Ag 0.000 0.000 0.000
As1 As 0.000 0.500 0.500
Se1 Se 0.500 0.500 0.000
N1 N 0.500 0.500 0.500
```

=====

Verdict on stability: <2> comes out on top.

=====

<1>
VASP calculation (PBE) on AgTeAsN2 after structural relaxation.

Computed properties:
volume	92.32	Å³ per cell
theoretical density	6.1	Mg/m³
total magnetization	0.936	Bohr magnetons per cell

Structure (CIF):
```
data_AgTeAsN2
_chemical_formula_sum 'Ag1 Te1 As1 N2'
_space_group_name_H-M_alt 'P 4/m m m'
_space_group_IT_number 123
_space_group_name_Hall '-P 4 2'
_cell_length_a 3.838
_cell_length_b 3.838
_cell_length_c 6.269
_cell_angle_alpha 90.00
_cell_angle_beta 90.00
_cell_angle_gamma 90.00
loop_
_atom_site_label
_atom_site_type_symbol
_atom_site_fract_x
_atom_site_fract_y
_atom_site_fract_z
Ag1 Ag 0.000 0.000 0.000
Te1 Te 0.500 0.500 0.000
As1 As 0.500 0.500 0.500
N1 N 0.000 0.500 0.500
```

=====

<2>
VASP calculation (PBE) on AgTeAsN2 after structural relaxation.

Computed properties:
volume	107.23	Å³ per cell
theoretical density	5.2	Mg/m³
total magnetization	3.057	Bohr magnetons per cell

Structure (CIF):
```
data_AgTeAsN2
_chemical_formula_sum 'Ag1 Te1 As1 N2'
_space_group_name_H-M_alt 'P 4/m m m'
_space_group_IT_number 123
_space_group_name_Hall '-P 4 2'
_cell_length_a 4.123
_cell_length_b 4.123
_cell_length_c 6.309
_cell_angle_alpha 90.00
_cell_angle_beta 90.00
_cell_angle_gamma 90.00
loop_
_atom_site_label
_atom_site_type_symbol
_atom_site_fract_x
_atom_site_fract_y
_atom_site_fract_z
Ag1 Ag 0.000 0.000 0.000
Te1 Te 0.000 0.000 0.500
As1 As 0.500 0.500 0.500
N1 N 0.000 0.500 0.000
```

=====

Verdict on stability: <1> comes out on top.

=====

<1>
VASP calculation (PBE) on Na3AgAs after structural relaxation.

Computed properties:
volume	522.31	Å³ per cell
theoretical density	3.2	Mg/m³
total magnetization	0.000	Bohr magnetons per cell

Structure (CIF):
```
data_Na3AgAs
_chemical_formula_sum 'Na12 Ag4 As4'
_space_group_name_H-M_alt 'C 1 2/m 1'
_space_group_IT_number 12
_cell_length_a 10.817
_cell_length_b 6.598
_cell_length_c 7.461
_cell_angle_alpha 90.00
_cell_angle_beta 101.24
_cell_angle_gamma 90.00
loop_
_space_group_symop_operation_xyz
'x,y,z'
'-x,-y,-z'
'-x,y,-z'
'x,-y,z'
'x+1/2,y+1/2,z'
'-x+1/2,-y+1/2,-z'
'-x+1/2,y+1/2,-z'
'x+1/2,-y+1/2,z'
loop_
_atom_site_label
_atom_site_type_symbol
_atom_site_fract_x
_atom_site_fract_y
_atom_site_fract_z
Na1 Na 0.029 0.248 0.250
Na2 Na 0.200 0.500 0.622
Ag1 Ag 0.250 0.250 0.000
As1 As 0.216 0.000 0.730
```

=====

<2>
VASP calculation (PBE) on Na3AgAs after structural relaxation.

Computed properties:
volume	168.35	Å³ per cell
theoretical density	2.5	Mg/m³
total magnetization	0.000	Bohr magnetons per cell

Structure (CIF):
```
data_Na3AgAs
_chemical_formula_sum 'Na3 Ag1 As1'
_space_group_name_H-M_alt 'P m -3 m'
_space_group_IT_number 221
_space_group_name_Hall '-P 4 2 3'
_cell_length_a 5.522
_cell_length_b 5.522
_cell_length_c 5.522
_cell_angle_alpha 90.00
_cell_angle_beta 90.00
_cell_angle_gamma 90.00
loop_
_atom_site_label
_atom_site_type_symbol
_atom_site_fract_x
_atom_site_fract_y
_atom_site_fract_z
Na1 Na 0.000 0.000 0.500
Ag1 Ag 0.500 0.500 0.500
As1 As 0.000 0.000 0.000
```

=====

Verdict on stability: <1> comes out on top.

=====

<1>
VASP calculation (PBE) on NaAg5As2 after structural relaxation.

Computed properties:
volume	306.99	Å³ per cell
theoretical density	7.7	Mg/m³
total magnetization	0.000	Bohr magnetons per cell

Structure (CIF):
```
data_NaAg5As2
_chemical_formula_sum 'Na2 Ag10 As4'
_space_group_name_H-M_alt 'I m m m'
_space_group_IT_number 71
_space_group_name_Hall '-I 2 2'
_cell_length_a 3.122
_cell_length_b 9.105
_cell_length_c 10.801
_cell_angle_alpha 90.00
_cell_angle_beta 90.00
_cell_angle_gamma 90.00
loop_
_atom_site_label
_atom_site_type_symbol
_atom_site_fract_x
_atom_site_fract_y
_atom_site_fract_z
Na1 Na 0.000 0.000 0.000
Ag1 Ag 0.000 0.229 0.367
Ag2 Ag 0.000 0.500 0.000
As1 As 0.000 0.500 0.252
```

=====

<2>
VASP calculation (PBE) on NaAg5As2 after structural relaxation.

Computed properties:
volume	333.41	Å³ per cell
theoretical density	7.1	Mg/m³
total magnetization	0.000	Bohr magnetons per cell

Structure (CIF):
```
data_NaAg5As2
_chemical_formula_sum 'Na2 Ag10 As4'
_space_group_name_H-M_alt 'I m m m'
_space_group_IT_number 71
_space_group_name_Hall '-I 2 2'
_cell_length_a 4.434
_cell_length_b 7.899
_cell_length_c 9.519
_cell_angle_alpha 90.00
_cell_angle_beta 90.00
_cell_angle_gamma 90.00
loop_
_atom_site_label
_atom_site_type_symbol
_atom_site_fract_x
_atom_site_fract_y
_atom_site_fract_z
Na1 Na 0.000 0.000 0.000
Ag1 Ag 0.000 0.179 0.343
Ag2 Ag 0.000 0.500 0.000
As1 As 0.000 0.500 0.273
```

=====

Verdict on stability: <2> comes out on top.